Compound: SrAgTe
Source: the Alexandria database
Functional: GGA-PBE
Structure: optimized geometry

```
data_SrAgTe
_chemical_formula_sum 'Sr4 Ag4 Te4'
_cell_length_a 4.820
_cell_length_b 9.089
_cell_length_c 8.388
_cell_angle_alpha 90.00
_cell_angle_beta 90.00
_cell_angle_gamma 90.00
_symmetry_space_group_name_H-M 'I m m 2'
_symmetry_Int_Tables_number 44
_symmetry_space_group_name_Hall 'I 2 -2'
loop_
_atom_site_label
_atom_site_type_symbol
_atom_site_fract_x
_atom_site_fract_y
_atom_site_fract_z
Sr1 Sr 0.000 0.000 0.000
Sr2 Sr 0.000 0.500 0.036
Ag1 Ag 0.000 0.347 0.694
Te1 Te 0.000 0.255 0.358
```

Properties
Total magnetic moment   0.00 μB per formula unit
Density of states at the Fermi level   0.5 states/eV/f.u.
DFT total energy   -3.386 eV per atom
ΔE_f (raw)   -0.8274 eV/atom

=====

Compound: CeHoTeO2
Source: the Alexandria database
Functional: GGA-PBE
Structure: optimized geometry

```
data_CeHoTeO2
_chemical_formula_sum 'Ce2 Ho2 Te2 O4'
_cell_length_a 3.976
_cell_length_b 3.976
_cell_length_c 12.652
_cell_angle_alpha 90.00
_cell_angle_beta 90.00
_cell_angle_gamma 90.00
_symmetry_space_group_name_H-M 'I 4 m m'
_symmetry_Int_Tables_number 107
_symmetry_space_group_name_Hall 'I 4 -2'
loop_
_atom_site_label
_atom_site_type_symbol
_atom_site_fract_x
_atom_site_fract_y
_atom_site_fract_z
Ce1 Ce 0.000 0.000 0.000
Ho1 Ho 0.000 0.000 0.319
Te1 Te 0.000 0.000 0.659
O1 O 0.000 0.500 0.402
```

Properties
Total magnetic moment   1.00 μB per formula unit
Density of states at the Fermi level   5.7 states/eV/f.u.
DFT total energy   -7.604 eV per atom
ΔE_f (raw)   -2.8901 eV/atom

=====

Compound: MnSnIrS
Source: the Alexandria database
Functional: GGA-PBE
Structure: optimized geometry

```
data_MnSnIrS
_chemical_formula_sum 'Mn2 Sn2 Ir2 S2'
_cell_length_a 6.668
_cell_length_b 3.852
_cell_length_c 6.989
_cell_angle_alpha 90.00
_cell_angle_beta 108.41
_cell_angle_gamma 90.00
_symmetry_space_group_name_H-M 'C 1 m 1'
_symmetry_Int_Tables_number 8
_symmetry_space_group_name_Hall 'C -2y'
loop_
_atom_site_label
_atom_site_type_symbol
_atom_site_fract_x
_atom_site_fract_y
_atom_site_fract_z
Mn1 Mn 0.000 0.000 0.000
Sn1 Sn 0.146 0.000 0.442
Ir1 Ir 0.409 0.000 0.230
S1 S 0.289 0.000 0.865
```

Properties
Total magnetic moment   3.95 μB per formula unit
Density of states at the Fermi level   3.2 states/eV/f.u.
DFT total energy   -6.671 eV per atom
ΔE_f (raw)   -0.1304 eV/atom

=====

Compound: RbUCoN3
Source: the Alexandria database
Functional: GGA-PBE
Structure: optimized geometry

```
data_RbUCoN3
_chemical_formula_sum 'Rb2 U2 Co2 N6'
_cell_length_a 7.999
_cell_length_b 3.516
_cell_length_c 8.179
_cell_angle_alpha 90.00
_cell_angle_beta 108.98
_cell_angle_gamma 90.00
_symmetry_space_group_name_H-M 'P 1 21/m 1'
_symmetry_Int_Tables_number 11
_symmetry_space_group_name_Hall '-P 2yb'
loop_
_atom_site_label
_atom_site_type_symbol
_atom_site_fract_x
_atom_site_fract_y
_atom_site_fract_z
Rb1 Rb 0.208 0.250 0.239
U1 U 0.329 0.750 0.847
Co1 Co 0.066 0.250 0.602
N1 N 0.150 0.750 0.573
N2 N 0.169 0.250 0.850
N3 N 0.487 0.750 0.129
```

Properties
Total magnetic moment   0.99 μB per formula unit
Density of states at the Fermi level   1.5 states/eV/f.u.
DFT total energy   -8.054 eV per atom
ΔE_f (raw)   -0.6640 eV/atom